Below is crystalline Hf2RuCl at its relaxed geometry, with properties calculated at the GGA-PBE level.

Geometry as CIF:
```
data_Hf2RuCl
_chemical_formula_sum 'Hf8 Ru4 Cl4'
_symmetry_space_group_name_H-M 'F m -3 m'
_symmetry_Int_Tables_number 225
_symmetry_space_group_name_Hall '-F 4 2 3'
_cell_length_a 6.627
_cell_length_b 6.627
_cell_length_c 6.627
_cell_angle_alpha 90.00
_cell_angle_beta 90.00
_cell_angle_gamma 90.00
loop_
_atom_site_label
_atom_site_type_symbol
_atom_site_fract_x
_atom_site_fract_y
_atom_site_fract_z
Hf1 Hf 0.250 0.250 0.250
Ru1 Ru 0.000 0.000 0.000
Cl1 Cl 0.000 0.000 0.500
```

Computed properties:
offset from the most stable computed form	0.000	eV per atom
M_tot	0.00	μB per cell
calculated volume	18.2	Å³/atom
final energy	-7.892	eV per atom
N(E_F)	4.5	states/eV/f.u.